No. 1
GdCuPbSeS2 | PBE | relaxed

- Raw total energy: -60.48 eV per cell
- SG: Cmcm

Cell: 6.966 6.966 10.603 Å, 90.00 90.00 146.88°
Element x y z (fractional)
Gd (0.000, 0.000, 0.000)
Gd (0.000, 0.000, 0.500)
Cu (0.470, 0.530, 0.750)
Cu (0.530, 0.470, 0.250)
Pb (0.231, 0.769, 0.250)
Pb (0.769, 0.231, 0.750)
Se (0.087, 0.913, 0.750)
Se (0.913, 0.087, 0.250)
S (0.367, 0.633, 0.573)
S (0.367, 0.633, 0.927)
S (0.633, 0.367, 0.073)
S (0.633, 0.367, 0.427)



No. 2
AcReB4 | PBE | relaxed

- SG: Immm
- ΔE to the lowest computed polymorph: 327.1 meV per atom

Cell: 5.112 5.112 5.112 Å, 143.61 113.74 78.02°
Element x y z (fractional)
Ac (0.000, 0.000, 0.000)
Re (0.500, 0.500, 0.000)
B (0.101, 0.760, 0.341)
B (0.419, 0.760, 0.659)
B (0.581, 0.240, 0.341)
B (0.899, 0.240, 0.659)



No. 3
CuAgMoPb | PBE | relaxed

- SG: F-43m
- ΔE to the lowest computed polymorph: 0.0 meV per atom

Cell: 4.679 4.679 4.679 Å, 60.00 60.00 60.00°
Element x y z (fractional)
Cu (0.000, 0.000, 0.000)
Ag (0.250, 0.250, 0.250)
Mo (0.500, 0.500, 0.500)
Pb (0.750, 0.750, 0.750)